Record 1
PBE-GGA ErTh2BeC2, optimized geometry; formation enthalpy at 0 K = -0.142 eV/atom
1.0
3.6710 0.0000 0.0000
0.0000 5.5323 0.0000
0.0000 0.0000 11.2375
Er Be C Th
2 2 4 4
Direct
0.5000 0.5000 0.0000
0.0000 0.0000 0.5000
0.5000 0.5000 0.5000
0.0000 0.0000 0.0000
0.5000 0.2637 0.6015
0.0000 0.2363 0.1015
0.0000 0.7637 0.8985
0.5000 0.7363 0.3985
0.5000 0.0093 0.2112
0.5000 0.9907 0.7888
0.0000 0.5093 0.2888
0.0000 0.4907 0.7112

Record 2
PBE-GGA ErU2BeC4, optimized geometry; formation enthalpy at 0 K = -0.151 eV/atom
1.0
-0.7874 -3.3238 -1.0095
0.8522 -0.0332 5.7280
-10.7596 2.0591 1.6127
U C Be Er
4 8 2 2
Direct
0.6271 0.2542 0.4435
0.6271 0.2542 0.0565
0.3729 0.7458 0.5565
0.3729 0.7458 0.9435
0.7462 0.4925 0.8826
0.2538 0.5075 0.1174
0.0000 0.0000 0.0000
0.7462 0.4925 0.6174
0.2538 0.5075 0.3826
0.4406 0.8811 0.7500
0.5594 0.1189 0.2500
0.0000 0.0000 0.5000
0.1585 0.3171 0.2500
0.8415 0.6829 0.7500
0.1079 0.2158 0.7500
0.8921 0.7842 0.2500

Record 3
PBE-GGA Y2ErBeC2, optimized geometry; formation enthalpy at 0 K = -0.157 eV/atom
1.0
3.6181 0.0000 0.0000
0.0000 5.4264 0.0000
0.0000 0.0000 10.8787
Y C Be Er
4 4 2 2
Direct
0.5000 0.9963 0.7937
0.0000 0.5037 0.2937
0.0000 0.4963 0.7063
0.5000 0.0037 0.2063
0.0000 0.2366 0.1070
0.5000 0.7366 0.3930
0.0000 0.7634 0.8930
0.5000 0.2634 0.6070
0.5000 0.5000 0.5000
0.0000 0.0000 0.0000
0.5000 0.5000 0.0000
0.0000 0.0000 0.5000

| no. | N(E_F) (states/eV/cell) |
| --- | --- |
| 1 | 9.2 |
| 2 | 9.4 |
| 3 | 7.8 |